Entry 1:
This record from the Alexandria database describes a geometry-optimized Sr2TiZn2O6 structure. The functional is PBE.

Cell lengths 5.881, 5.881, 6.242 Å; angles 61.90, 61.90, 60.00 degrees
Fractional positions:
O (0.769, 0.220, 0.242)
O (0.780, 0.231, 0.758)
O (0.769, 0.769, 0.242)
O (0.231, 0.780, 0.758)
O (0.220, 0.769, 0.242)
O (0.231, 0.231, 0.758)
Zn (0.586, 0.586, 0.242)
Zn (0.414, 0.414, 0.758)
Ti (0.000, 0.000, 0.000)
Sr (0.210, 0.210, 0.371)
Sr (0.790, 0.790, 0.629)

Properties
VASP energy	-6.200	eV/atom
formation energy from raw total energies	-2.24	eV per atom

***

Entry 2:
This record from the Alexandria database describes a geometry-optimized PuHRh structure. The functional is PBE.

Cell lengths 3.134, 4.977, 5.837 Å; angles 90.07, 74.31, 90.02 degrees
Fractional positions:
H (0.671, 0.751, 0.159)
H (0.329, 0.249, 0.841)
Pu (0.360, 0.749, 0.782)
Pu (0.640, 0.251, 0.218)
Rh (0.913, 0.250, 0.674)
Rh (0.087, 0.750, 0.326)

Properties
VASP energy	-8.710	eV/atom

***

Entry 3:
This record from the Alexandria database describes a geometry-optimized LiInCu3 structure. The functional is PBE.

Cell lengths 4.231, 4.231, 4.231 Å; angles 90.00, 90.00, 90.00 degrees
Fractional positions:
Cu (0.500, 0.000, 0.000)
Cu (0.000, 0.000, 0.500)
Cu (0.000, 0.500, 0.000)
In (0.500, 0.500, 0.500)
Li (0.000, 0.000, 0.000)

Properties
VASP energy	-2.916	eV/atom

***

Entry 4:
This record from the Alexandria database describes a geometry-optimized TlC2 structure. The functional is PBE.

Cell lengths 4.404, 4.404, 4.829 Å; angles 90.00, 90.00, 120.00 degrees
Fractional positions:
C (0.000, 0.000, 0.500)
C (0.667, 0.333, 0.750)
C (0.000, 0.000, 0.000)
C (0.333, 0.667, 0.250)
Tl (0.333, 0.667, 0.750)
Tl (0.667, 0.333, 0.250)

Properties
VASP energy	-3.624	eV/atom